Here is a relaxed RbZrGa crystal from Alexandria via LeMat-Bulk. Energies are from GGA-PBE.

Size of the total moment: 0.00 μB/f.u.

CIF file:
```
data_RbZrGa
_cell_length_a 12.374
_cell_length_b 4.749
_cell_length_c 4.749
_cell_angle_alpha 60.14
_cell_angle_beta 86.57
_cell_angle_gamma 97.34
_symmetry_space_group_name_H-M 'P 1'
_symmetry_Int_Tables_number 1
_symmetry_space_group_name_Hall 'P 1'
loop_
_atom_site_label
_atom_site_fract_x
_atom_site_fract_y
_atom_site_fract_z
_atom_site_occupancy
Rb1 0.665 0.591 0.019 1
Rb2 0.290 0.931 0.751 1
Zr1 0.978 0.428 0.552 1
Zr2 0.978 0.763 0.887 1
Ga1 0.083 0.152 0.174 1
Ga2 0.872 0.038 0.265 1
```



Here is a relaxed RbZrGa crystal from Alexandria via LeMat-Bulk. Energies are from GGA-PBE.

Size of the total moment: 0.00 μB/f.u.

CIF file:
```
data_RbZrGa
_cell_length_a 12.417
_cell_length_b 4.751
_cell_length_c 4.754
_cell_angle_alpha 119.95
_cell_angle_beta 79.64
_cell_angle_gamma 100.75
_symmetry_space_group_name_H-M 'P 1'
_symmetry_Int_Tables_number 1
_symmetry_space_group_name_Hall 'P 1'
loop_
_atom_site_label
_atom_site_fract_x
_atom_site_fract_y
_atom_site_fract_z
_atom_site_occupancy
Ga1 0.106 0.536 0.468 1
Ga2 0.894 0.464 0.532 1
Rb1 0.313 0.272 0.739 1
Rb2 0.687 0.728 0.261 1
Zr1 0.998 0.166 0.833 1
Zr2 0.002 0.834 0.167 1
```



Here is a relaxed RbZrGa3 crystal from Alexandria via LeMat-Bulk. Energies are from GGA-PBE.

Size of the total moment: 0.00 μB/f.u.

CIF file:
```
data_RbZrGa3
_cell_length_a 5.416
_cell_length_b 5.416
_cell_length_c 5.416
_cell_angle_alpha 90.00
_cell_angle_beta 90.00
_cell_angle_gamma 90.00
_symmetry_space_group_name_H-M 'P 1'
_symmetry_Int_Tables_number 1
_symmetry_space_group_name_Hall 'P 1'
loop_
_atom_site_label
_atom_site_fract_x
_atom_site_fract_y
_atom_site_fract_z
_atom_site_occupancy
Ga1 0.000 0.500 0.000 1
Ga2 0.500 0.000 0.000 1
Ga3 0.000 0.000 0.500 1
Rb1 0.500 0.500 0.500 1
Zr1 0.000 0.000 0.000 1
```



Here is a relaxed RbZrGa crystal from Alexandria via LeMat-Bulk. Energies are from GGA-PBE.

Size of the total moment: 0.00 μB/f.u.

CIF file:
```
data_RbZrGa
_cell_length_a 12.532
_cell_length_b 3.743
_cell_length_c 5.181
_cell_angle_alpha 68.88
_cell_angle_beta 99.46
_cell_angle_gamma 93.52
_symmetry_space_group_name_H-M 'P 1'
_symmetry_Int_Tables_number 1
_symmetry_space_group_name_Hall 'P 1'
loop_
_atom_site_label
_atom_site_fract_x
_atom_site_fract_y
_atom_site_fract_z
_atom_site_occupancy
Zr1 0.086 0.354 0.833 1
Zr2 0.011 0.076 0.360 1
Rb1 0.671 0.160 0.051 1
Rb2 0.318 0.623 0.395 1
Ga1 0.852 0.449 0.549 1
Ga2 0.928 0.777 0.923 1
```



Here is a relaxed RbZrGa2 crystal from Alexandria via LeMat-Bulk. Energies are from GGA-PBE.

Size of the total moment: 0.84 μB/f.u.

CIF file:
```
data_RbZrGa2
_cell_length_a 5.222
_cell_length_b 5.222
_cell_length_c 5.222
_cell_angle_alpha 60.00
_cell_angle_beta 60.00
_cell_angle_gamma 60.00
_symmetry_space_group_name_H-M 'P 1'
_symmetry_Int_Tables_number 1
_symmetry_space_group_name_Hall 'P 1'
loop_
_atom_site_label
_atom_site_fract_x
_atom_site_fract_y
_atom_site_fract_z
_atom_site_occupancy
Zr1 0.500 0.500 0.500 1
Ga1 0.250 0.250 0.250 1
Ga2 0.750 0.750 0.750 1
Rb1 0.000 0.000 0.000 1
```



Here is a relaxed RbZrGa crystal from Alexandria via LeMat-Bulk. Energies are from GGA-PBE.

Size of the total moment: 0.00 μB/f.u.

CIF file:
```
data_RbZrGa
_cell_length_a 4.635
_cell_length_b 13.566
_cell_length_c 4.641
_cell_angle_alpha 90.22
_cell_angle_beta 119.95
_cell_angle_gamma 110.06
_symmetry_space_group_name_H-M 'P 1'
_symmetry_Int_Tables_number 1
_symmetry_space_group_name_Hall 'P 1'
loop_
_atom_site_label
_atom_site_fract_x
_atom_site_fract_y
_atom_site_fract_z
_atom_site_occupancy
Rb1 0.415 0.231 0.714 1
Rb2 0.207 0.582 0.601 1
Ga1 0.909 0.855 0.457 1
Ga2 0.484 0.034 0.247 1
Zr1 0.709 0.954 0.858 1
Zr2 0.187 0.814 0.095 1
```



Here is a relaxed RbZrGa crystal from Alexandria via LeMat-Bulk. Energies are from GGA-PBE.

Size of the total moment: 0.00 μB/f.u.

CIF file:
```
data_RbZrGa
_cell_length_a 3.541
_cell_length_b 13.976
_cell_length_c 4.032
_cell_angle_alpha 89.62
_cell_angle_beta 90.00
_cell_angle_gamma 97.86
_symmetry_space_group_name_H-M 'P 1'
_symmetry_Int_Tables_number 1
_symmetry_space_group_name_Hall 'P 1'
loop_
_atom_site_label
_atom_site_fract_x
_atom_site_fract_y
_atom_site_fract_z
_atom_site_occupancy
Ga1 0.545 0.051 0.674 1
Ga2 0.895 0.772 0.180 1
Rb1 0.289 0.576 0.685 1
Rb2 0.151 0.247 0.169 1
Zr1 0.007 0.982 0.175 1
Zr2 0.432 0.842 0.679 1
```



Here is a relaxed RbZrGa crystal from Alexandria via LeMat-Bulk. Energies are from GGA-PBE.

Size of the total moment: 0.53 μB/f.u.

CIF file:
```
data_RbZrGa
_cell_length_a 5.181
_cell_length_b 5.181
_cell_length_c 8.764
_cell_angle_alpha 90.00
_cell_angle_beta 90.00
_cell_angle_gamma 90.00
_symmetry_space_group_name_H-M 'P 1'
_symmetry_Int_Tables_number 1
_symmetry_space_group_name_Hall 'P 1'
loop_
_atom_site_label
_atom_site_fract_x
_atom_site_fract_y
_atom_site_fract_z
_atom_site_occupancy
Ga1 0.000 0.000 0.500 1
Ga2 0.500 0.500 0.500 1
Rb1 0.500 0.000 0.164 1
Rb2 0.000 0.500 0.836 1
Zr1 0.000 0.500 0.415 1
Zr2 0.500 0.000 0.585 1
```



no.,D(E_F) (states/eV per atom),polymorph energy (0 for the lowest one) (eV per atom)
1,0.159,0.132
2,0.196,0.130
3,1.037,0.000
4,0.209,0.268
5,1.165,0.000
6,1.005,0.153
7,0.993,0.002
8,1.229,0.349